Ta2Mn2O7: relaxed, PBE with a Hubbard U.

a = 7.3332 Å, b = 7.3332 Å, c = 7.3332 Å
α = 60.00°, β = 60.00°, γ = 60.00°
Fractional positions:
Ta 0.0000 0.0000 0.0000
Ta 0.0000 0.0000 0.5000
Ta 0.0000 0.5000 0.0000
Ta 0.5000 0.0000 0.0000
Mn 0.0000 0.5000 0.5000
Mn 0.5000 0.0000 0.5000
Mn 0.5000 0.5000 0.0000
Mn 0.5000 0.5000 0.5000
O 0.0713 0.0713 0.6787
O 0.0713 0.6787 0.0713
O 0.0713 0.6787 0.6787
O 0.3213 0.3213 0.9287
O 0.3213 0.9287 0.3213
O 0.3213 0.9287 0.9287
O 0.3750 0.3750 0.3750
O 0.6250 0.6250 0.6250
O 0.6787 0.0713 0.0713
O 0.6787 0.0713 0.6787
O 0.6787 0.6787 0.0713
O 0.9287 0.3213 0.3213
O 0.9287 0.3213 0.9287
O 0.9287 0.9287 0.3213

Computed properties:
E_tot (eV per atom): -9.059